AcInGa4 | Alexandria | GGA-PBE | relaxed; distance to the lowest polymorph of the same formula = 0.000 eV/atom; total moment = 0.0 μB/f.u.; crystal system = orthorhombic; space-group type = Pbam (55)
1.0
4.429 0.000 0.000
0.000 8.280 0.000
0.000 0.000 15.808
Ac In Ga
4 4 16
direct
0.000 0.630 0.349
0.000 0.370 0.651
0.000 0.130 0.151
0.000 0.870 0.849
0.000 0.643 0.090
0.000 0.357 0.910
0.000 0.143 0.410
0.000 0.857 0.590
0.500 0.796 0.189
0.500 0.204 0.811
0.500 0.296 0.311
0.500 0.704 0.689
0.500 0.870 0.033
0.500 0.130 0.967
0.500 0.370 0.467
0.500 0.630 0.533
0.500 0.883 0.450
0.500 0.117 0.550
0.500 0.383 0.050
0.500 0.617 0.950
0.500 0.986 0.304
0.500 0.014 0.696
0.500 0.486 0.196
0.500 0.514 0.804